Ag2BSe2, optimized geometry, DFT PBEsol; formation energy without anion corrections = 1.06 eV per atom; density = 6.63 Mg/m³; electronic total energy = -16.04 eV for the cell shown
1.0
3.635 0.000 0.000
0.000 3.635 0.000
-1.817 -1.817 7.293
Ag Se B
2 2 1
Direct
0.413 0.413 0.825 Ag
0.587 0.587 0.175 Ag
0.750 0.250 0.500 Se
0.250 0.750 0.500 Se
0.000 0.000 0.000 B